(1)
Compound: Cs2PHO4
Source: Alexandria
Functional: PBE-GGA
Structure: relaxed

Geometry as POSCAR:
```
Cs2PHO4
1.0
-2.527 -3.423 -0.313
3.386 -5.315 1.718
-4.327 -0.380 10.004
Cs P H O
4 2 2 8
direct
0.171 0.000 0.659
0.829 0.000 0.341
0.579 0.500 0.841
0.921 0.500 0.159
0.250 0.500 0.500
0.500 0.000 0.000
0.750 0.500 0.500
0.000 0.000 0.000
0.302 0.859 0.080
0.241 0.141 0.920
0.839 0.859 0.920
0.618 0.141 0.080
0.448 0.641 0.420
0.509 0.359 0.580
0.911 0.641 0.580
0.132 0.359 0.420
```

Calculated values
total moment: 0.00 μB per formula unit
space-group type: No. 70
crystal system: orthorhombic
DFT total energy: -5.544 eV per atom


(2)
Compound: Cs2PH4O2
Source: Alexandria
Functional: PBE-GGA
Structure: relaxed

Geometry as POSCAR:
```
Cs2PH4O2
1.0
-5.012 2.062 1.213
-4.110 -3.440 -2.900
-3.020 -4.305 3.080
Cs P H O
2 1 4 2
direct
0.260 0.715 0.715
0.740 0.285 0.285
0.500 0.000 0.000
0.333 0.795 0.149
0.667 0.851 0.205
0.667 0.205 0.851
0.333 0.149 0.795
0.317 0.161 0.161
0.683 0.839 0.839
```

Calculated values
total moment: 1.00 μB per formula unit
space-group type: No. 12
crystal system: monoclinic
DFT total energy: -3.992 eV per atom


(3)
Compound: CsPHO2
Source: Alexandria
Functional: PBE-GGA
Structure: relaxed

Geometry as POSCAR:
```
CsPHO2
1.0
4.324 0.000 0.000
0.000 4.324 0.000
0.000 0.000 7.933
Cs P O H
1 1 2 1
direct
0.000 0.000 0.000
0.000 0.000 0.500
0.000 0.500 0.000
0.500 0.000 0.000
0.500 0.500 0.500
```

Calculated values
total moment: 2.17 μB per formula unit
space-group type: No. 123
crystal system: tetragonal
DFT total energy: -2.465 eV per atom


(4)
Compound: Cs2SiP4H2O14
Source: Alexandria
Functional: PBE-GGA
Structure: relaxed

Geometry as POSCAR:
```
Cs2SiP4H2O14
1.0
9.236 0.015 0.026
-3.643 8.676 0.053
-3.487 -2.341 8.740
Cs Si P H O
4 2 8 4 28
direct
0.807 0.676 0.777
0.193 0.324 0.223
0.207 0.739 0.535
0.793 0.261 0.465
0.500 0.500 0.000
0.500 0.000 0.000
0.244 0.145 0.859
0.756 0.855 0.141
0.299 0.350 0.650
0.701 0.650 0.350
0.309 0.875 0.199
0.691 0.125 0.801
0.240 0.648 0.935
0.760 0.352 0.065
0.927 0.072 0.814
0.073 0.928 0.186
0.483 0.247 0.632
0.517 0.753 0.368
0.076 0.043 0.866
0.924 0.957 0.134
0.345 0.305 0.981
0.655 0.695 0.019
0.643 0.941 0.137
0.357 0.059 0.863
0.200 0.188 0.694
0.800 0.812 0.306
0.171 0.383 0.530
0.829 0.617 0.470
0.592 0.517 0.200
0.408 0.483 0.800
0.422 0.318 0.587
0.578 0.682 0.413
0.569 0.151 0.666
0.431 0.849 0.334
0.397 0.003 0.126
0.603 0.997 0.874
0.812 0.082 0.750
0.188 0.918 0.250
0.186 0.714 0.062
0.814 0.286 0.938
0.078 0.540 0.800
0.922 0.460 0.200
0.643 0.426 0.972
0.357 0.574 0.028
0.352 0.800 0.900
0.648 0.200 0.100
```

Calculated values
total moment: 0.00 μB per formula unit
space-group type: No. 2
crystal system: triclinic
DFT total energy: -6.712 eV per atom


(5)
Compound: Cs2TeP2H8O13
Source: Alexandria
Functional: PBE-GGA
Structure: relaxed

Geometry as POSCAR:
```
Cs2TeP2H8O13
1.0
-3.327 -9.557 4.755
1.285 -10.875 -2.255
13.073 -5.080 9.556
Cs Te P H O
8 4 8 32 52
direct
0.814 0.874 0.957
0.128 0.186 0.544
0.186 0.128 0.044
0.874 0.814 0.457
0.736 0.436 0.331
0.568 0.263 0.169
0.263 0.568 0.669
0.436 0.736 0.831
0.339 0.401 0.927
0.599 0.663 0.573
0.663 0.599 0.073
0.401 0.339 0.427
0.199 0.886 0.368
0.097 0.811 0.127
0.811 0.097 0.627
0.886 0.199 0.868
0.384 0.995 0.289
0.005 0.614 0.211
0.614 0.005 0.711
0.995 0.384 0.789
0.465 0.113 0.369
0.888 0.536 0.131
0.536 0.888 0.631
0.113 0.465 0.869
0.403 0.682 0.043
0.320 0.595 0.459
0.595 0.320 0.959
0.682 0.403 0.543
0.729 0.753 0.264
0.245 0.272 0.237
0.272 0.245 0.737
0.753 0.729 0.764
0.375 0.752 0.500
0.249 0.625 0.000
0.625 0.249 0.500
0.752 0.375 0.000
0.528 0.857 0.439
0.143 0.473 0.061
0.473 0.143 0.561
0.857 0.528 0.939
0.563 0.820 0.152
0.181 0.439 0.348
0.439 0.181 0.848
0.820 0.563 0.652
0.416 0.682 0.174
0.315 0.588 0.326
0.588 0.315 0.826
0.682 0.416 0.674
0.012 0.001 0.483
0.001 0.012 0.983
0.133 0.864 0.238
0.864 0.133 0.738
0.532 0.284 0.987
0.717 0.467 0.514
0.467 0.717 0.014
0.284 0.532 0.487
0.627 0.231 0.444
0.770 0.373 0.056
0.373 0.770 0.556
0.231 0.627 0.944
0.552 0.835 0.251
0.167 0.448 0.248
0.448 0.167 0.748
0.835 0.552 0.751
0.566 0.820 0.092
0.180 0.434 0.408
0.434 0.180 0.908
0.820 0.566 0.592
0.528 0.149 0.362
0.851 0.473 0.138
0.473 0.851 0.638
0.149 0.528 0.862
0.351 0.734 0.416
0.263 0.653 0.087
0.653 0.263 0.587
0.734 0.351 0.916
0.963 0.955 0.069
0.046 0.034 0.424
0.034 0.046 0.924
0.955 0.963 0.569
0.243 0.983 0.298
0.010 0.760 0.202
0.760 0.010 0.702
0.983 0.243 0.798
0.539 0.583 0.177
0.415 0.463 0.324
0.463 0.415 0.824
0.583 0.539 0.677
0.143 0.878 0.173
0.141 0.834 0.324
0.834 0.141 0.824
0.878 0.143 0.673
0.313 0.152 0.221
0.850 0.680 0.280
0.680 0.850 0.780
0.152 0.313 0.721
0.385 0.024 0.371
0.977 0.613 0.129
0.613 0.977 0.629
0.024 0.385 0.871
0.628 0.773 0.472
0.226 0.373 0.028
0.373 0.226 0.528
0.773 0.628 0.972
```

Calculated values
total moment: 0.03 μB per formula unit
space-group type: No. 9
crystal system: monoclinic
DFT total energy: -5.628 eV per atom


(6)
Compound: CsZn2P2HO8
Source: Alexandria
Functional: PBE-GGA
Structure: relaxed

Geometry as POSCAR:
```
CsZn2P2HO8
1.0
8.744 0.079 0.000
-6.229 6.136 0.000
0.000 0.000 7.924
Cs Zn P H O
2 4 4 2 16
direct
0.500 0.500 0.500
0.000 0.000 0.000
0.483 0.017 0.750
0.017 0.483 0.250
0.517 0.983 0.250
0.983 0.517 0.750
0.143 0.857 0.461
0.857 0.143 0.539
0.357 0.643 0.961
0.643 0.357 0.039
0.000 0.000 0.500
0.500 0.500 0.000
0.203 0.797 0.302
0.797 0.203 0.698
0.297 0.703 0.802
0.703 0.297 0.198
0.965 0.649 0.562
0.649 0.965 0.438
0.149 0.465 0.062
0.465 0.149 0.938
0.035 0.351 0.438
0.351 0.035 0.562
0.851 0.535 0.938
0.535 0.851 0.062
0.053 0.947 0.391
0.947 0.053 0.609
0.447 0.553 0.891
0.553 0.447 0.109
```

Calculated values
total moment: 0.00 μB per formula unit
space-group type: No. 64
crystal system: orthorhombic
DFT total energy: -6.068 eV per atom


(7)
Compound: Cs3Pa2H2O5
Source: Alexandria
Functional: PBE-GGA
Structure: relaxed

Geometry as POSCAR:
```
Cs3Pa2H2O5
1.0
-3.789 2.197 -0.764
-2.280 -3.222 2.045
4.336 6.595 10.391
Cs Pa H O
3 2 2 5
direct
0.187 0.187 0.373
0.813 0.813 0.627
0.000 0.000 0.000
0.412 0.412 0.824
0.588 0.588 0.176
0.681 0.681 0.363
0.319 0.319 0.637
0.596 0.096 0.191
0.404 0.904 0.809
0.096 0.596 0.191
0.904 0.404 0.809
0.500 0.500 0.000
```

Calculated values
total moment: 1.01 μB per formula unit
space-group type: No. 139
crystal system: tetragonal
DFT total energy: -6.608 eV per atom


(8)
Compound: CsPaHO4
Source: Alexandria
Functional: PBE-GGA
Structure: relaxed

Geometry as POSCAR:
```
CsPaHO4
1.0
5.083 0.000 -0.646
0.000 5.786 0.000
-2.899 0.000 8.251
Cs Pa H O
2 2 2 8
direct
0.666 0.750 0.932
0.334 0.250 0.068
0.780 0.750 0.463
0.220 0.250 0.537
0.214 0.750 0.252
0.786 0.250 0.748
0.064 0.491 0.662
0.936 0.991 0.338
0.936 0.509 0.338
0.064 0.009 0.662
0.362 0.750 0.208
0.638 0.250 0.792
0.522 0.750 0.574
0.478 0.250 0.426
```

Calculated values
total moment: 0.00 μB per formula unit
space-group type: No. 11
crystal system: monoclinic
DFT total energy: -7.024 eV per atom


Number 1: density of states at the Fermi level 0.0 states/eV/cell. Number 2: density of states at the Fermi level 4.7 states/eV/cell. Number 3: density of states at the Fermi level 2.0 states/eV/cell. Number 4: density of states at the Fermi level 0.0 states/eV/cell. Number 5: density of states at the Fermi level 0.0 states/eV/cell. Number 6: density of states at the Fermi level 0.0 states/eV/cell. Number 7: density of states at the Fermi level 6.7 states/eV/cell. Number 8: density of states at the Fermi level 3.8 states/eV/cell.